Entry from Alexandria: a geometry-optimized MnIn2O4 structure (GGA-PBEsol).

For the formation energy (no corrections), the calculation gives -1.486 eV/atom. The density of states at the Fermi level is 1.54 states/eV/f.u.

The structure belongs to space group Fd-3m (No. 227, origin choice 2); the cell edges are 9.0174, 9.0174 and 9.0174 Å and the angles 90.00°, 90.00° and 90.00°. The inequivalent atoms are Mn at (0.1250, 0.1250, 0.1250), In at (0.0000, 0.0000, 0.5000) and O at (0.0073, 0.0073, 0.7427).

***

Entry from Alexandria: a geometry-optimized BeInAs2 structure (GGA-PBEsol).

The density of states at the Fermi level is 1.60 states/eV/f.u. The calculated total energy comes out at -17.32 eV/cell.

The structure belongs to space group P-4m2 (No. 115); the cell edges are 3.8301, 3.8301 and 5.9239 Å and the angles 90.00°, 90.00° and 90.00°. The inequivalent atoms are Be at (0.0000, 0.0000, 0.0000), In at (0.5000, 0.5000, 0.5000) and As at (0.0000, 0.5000, 0.8055).

***

Entry from Alexandria: a geometry-optimized HgAu2F8 structure (GGA-PBEsol).

For the formation energy (no corrections), the calculation gives -1.165 eV/atom. The density of states at the Fermi level is 0.00 states/eV/f.u.

The structure belongs to space group P4/mcc (No. 124); the cell edges are 5.7527, 5.7527 and 10.4211 Å and the angles 90.00°, 90.00° and 90.00°. The inequivalent atoms are Hg at (0.0000, 0.0000, 0.2500), Au at (0.0000, 0.5000, 0.0000) and F at (0.1567, 0.3143, 0.1290).

***

Entry from Alexandria: a geometry-optimized Co2AsOs structure (GGA-PBEsol).

The density of states at the Fermi level is 4.58 states/eV/f.u. The calculated total energy comes out at -31.67 eV/cell.

The structure belongs to space group Pmmm (No. 47); the cell edges are 2.8799, 4.1149 and 4.1620 Å and the angles 90.00°, 90.00° and 90.00°. The inequivalent atoms are Co at (0.0000, 0.0000, 0.0000), Co at (0.5000, 0.0000, 0.5000), As at (0.0000, 0.5000, 0.5000) and Os at (0.5000, 0.5000, 0.0000).

***

Entry from Alexandria: a geometry-optimized Li2Fe2Mo3O12 structure (GGA-PBEsol).

For the formation energy (no corrections), the calculation gives -1.826 eV/atom. The density of states at the Fermi level is 9.19 states/eV/f.u.

The structure belongs to space group Pbcn (No. 60); the cell edges are 12.7429, 9.4028 and 9.2153 Å and the angles 90.00°, 90.00° and 90.00°. The inequivalent atoms are Li at (0.1910, 0.2218, 0.2323), Fe at (0.1216, 0.2534, 0.5314), Mo at (0.0000, 0.4647, 0.2500), Mo at (0.1419, 0.0990, 0.8963), O at (0.0121, 0.1464, 0.9364), O at (0.0662, 0.4262, 0.6258), O at (0.0941, 0.3517, 0.3380), O at (0.1611, 0.0894, 0.3922), O at (0.1758, 0.1716, 0.7250) and O at (0.2242, 0.1745, 0.0320).

***

Entry from Alexandria: a geometry-optimized TeRh3Au structure (GGA-PBEsol).

For the formation energy (no corrections), the calculation gives 1.111 eV/atom. The density of states at the Fermi level is 5.83 states/eV/f.u.

The structure belongs to space group Pm-3m (No. 221); the cell edges are 4.7152, 4.7152 and 4.7152 Å and the angles 90.00°, 90.00° and 90.00°. The inequivalent atoms are Te at (0.0000, 0.0000, 0.0000), Rh at (0.0000, 0.0000, 0.5000) and Au at (0.5000, 0.5000, 0.5000).

***

Entry from Alexandria: a geometry-optimized Mn2InCo structure (GGA-PBEsol).

The density of states at the Fermi level is 2.06 states/eV/f.u. The calculated total energy comes out at -29.46 eV/cell.

The structure belongs to space group P4/mmm (No. 123); the cell edges are 2.9585, 2.9585 and 6.3740 Å and the angles 90.00°, 90.00° and 90.00°. The inequivalent atoms are Mn at (0.0000, 0.0000, 0.2106), In at (0.5000, 0.5000, 0.5000) and Co at (0.5000, 0.5000, 0.0000).

***

Entry from Alexandria: a geometry-optimized Rb2CdHgAu structure (GGA-PBEsol).

The density of states at the Fermi level is 3.40 states/eV/f.u. The calculated total energy comes out at -7.79 eV/cell.

The structure belongs to space group P4/mmm (No. 123); the cell edges are 6.3404, 6.3404 and 5.2844 Å and the angles 90.00°, 90.00° and 90.00°. The inequivalent atoms are Rb at (0.0000, 0.5000, 0.0000), Cd at (0.0000, 0.0000, 0.5000), Hg at (0.5000, 0.5000, 0.5000) and Au at (0.0000, 0.0000, 0.0000).

***

Entry from Alexandria: a geometry-optimized ZrTiCo4 structure (GGA-PBEsol).

The density of states at the Fermi level is 7.15 states/eV/f.u. The calculated total energy comes out at -201.78 eV/cell.

The structure belongs to space group F-43m (No. 216); the cell edges are 6.6729, 6.6729 and 6.6729 Å and the angles 90.00°, 90.00° and 90.00°. The inequivalent atoms are Zr at (0.0000, 0.0000, 0.0000), Ti at (0.2500, 0.2500, 0.7500) and Co at (0.1245, 0.1245, 0.3755).

***

Entry from Alexandria: a geometry-optimized TaCuMo2 structure (GGA-PBEsol).

The density of states at the Fermi level is 3.00 states/eV/f.u. The calculated total energy comes out at -78.62 eV/cell.

The structure belongs to space group Cmmm (No. 65); the cell edges are 5.4199, 8.5926 and 2.6070 Å and the angles 90.00°, 90.00° and 90.00°. The inequivalent atoms are Ta at (0.0000, 0.0000, 0.0000), Cu at (0.0000, 0.5000, 0.0000) and Mo at (0.2500, 0.2500, 0.5000).

***

Entry from Alexandria: a geometry-optimized MnP3Pt structure (GGA-PBEsol).

The density of states at the Fermi level is 4.12 states/eV/f.u. The calculated total energy comes out at -29.10 eV/cell.

The structure belongs to space group Pm-3m (No. 221); the cell edges are 4.6494, 4.6494 and 4.6494 Å and the angles 90.00°, 90.00° and 90.00°. The inequivalent atoms are Mn at (0.0000, 0.0000, 0.0000), P at (0.0000, 0.5000, 0.5000) and Pt at (0.5000, 0.5000, 0.5000).

***

Entry from Alexandria: a geometry-optimized CuRhSeBr2 structure (GGA-PBEsol).

For the formation energy (no corrections), the calculation gives 0.790 eV/atom. The density of states at the Fermi level is 7.50 states/eV/f.u.

The structure belongs to space group P4/mmm (No. 123); the cell edges are 4.7890, 4.7890 and 4.7403 Å and the angles 90.00°, 90.00° and 90.00°. The inequivalent atoms are Cu at (0.0000, 0.0000, 0.0000), Rh at (0.5000, 0.5000, 0.5000), Se at (0.0000, 0.0000, 0.5000) and Br at (0.0000, 0.5000, 0.0000).

***

Entry from Alexandria: a geometry-optimized HgIrN2F structure (GGA-PBEsol).

For the formation energy (no corrections), the calculation gives 2.269 eV/atom. The density of states at the Fermi level is 7.63 states/eV/f.u.

The structure belongs to space group P4/mmm (No. 123); the cell edges are 4.1379, 4.1379 and 4.0943 Å and the angles 90.00°, 90.00° and 90.00°. The inequivalent atoms are Hg at (0.0000, 0.0000, 0.0000), Ir at (0.5000, 0.5000, 0.5000), N at (0.0000, 0.5000, 0.0000) and F at (0.0000, 0.0000, 0.5000).

***

Entry from Alexandria: a geometry-optimized RbLaRh2Pb structure (GGA-PBEsol).

The density of states at the Fermi level is 5.93 states/eV/f.u. The calculated total energy comes out at -19.98 eV/cell.

The structure belongs to space group P4/mmm (No. 123); the cell edges are 4.8783, 4.8783 and 5.6549 Å and the angles 90.00°, 90.00° and 90.00°. The inequivalent atoms are Rb at (0.0000, 0.0000, 0.0000), La at (0.5000, 0.5000, 0.5000), Rh at (0.0000, 0.5000, 0.0000) and Pb at (0.0000, 0.0000, 0.5000).

***

Entry from Alexandria: a geometry-optimized Hf2ScGaI structure (GGA-PBEsol).

For the formation energy (no corrections), the calculation gives 0.836 eV/atom. The density of states at the Fermi level is 7.75 states/eV/f.u.

The structure belongs to space group P4/mmm (No. 123); the cell edges are 4.9683, 4.9683 and 5.4243 Å and the angles 90.00°, 90.00° and 90.00°. The inequivalent atoms are Hf at (0.0000, 0.5000, 0.0000), Sc at (0.0000, 0.0000, 0.5000), Ga at (0.5000, 0.5000, 0.0000) and I at (0.5000, 0.5000, 0.5000).

***

Entry from Alexandria: a geometry-optimized ZnCrSe4 structure (GGA-PBEsol).

For the formation energy (no corrections), the calculation gives 0.676 eV/atom. The density of states at the Fermi level is 3.10 states/eV/f.u.

The structure belongs to space group F-43m (No. 216); the cell edges are 7.9349, 7.9349 and 7.9349 Å and the angles 90.00°, 90.00° and 90.00°. The inequivalent atoms are Zn at (0.0000, 0.0000, 0.0000), Cr at (0.2500, 0.2500, 0.2500) and Se at (0.1253, 0.1253, 0.6253).

***

Entry from Alexandria: a geometry-optimized BaCoC2F structure (GGA-PBEsol).

For the formation energy (no corrections), the calculation gives -0.191 eV/atom. The density of states at the Fermi level is 2.38 states/eV/f.u.

The structure belongs to space group P4/mmm (No. 123); the cell edges are 3.6083, 3.6083 and 5.6708 Å and the angles 90.00°, 90.00° and 90.00°. The inequivalent atoms are Ba at (0.0000, 0.0000, 0.0000), Co at (0.5000, 0.5000, 0.5000), C at (0.0000, 0.5000, 0.5000) and F at (0.5000, 0.5000, 0.0000).

***

Entry from Alexandria: a geometry-optimized NdInPt structure (GGA-PBEsol).

The density of states at the Fermi level is 2.19 states/eV/f.u. The calculated total energy comes out at -53.99 eV/cell.

The structure belongs to space group P-62m (No. 189); the cell edges are 7.6474, 7.6474 and 3.9611 Å and the angles 90.00°, 90.00° and 120.00°. The inequivalent atoms are Nd at (0.0000, 0.4095, 0.0000), In at (0.0000, 0.7454, 0.5000), Pt at (0.0000, 0.0000, 0.0000) and Pt at (0.3333, 0.6667, 0.5000).

***

Entry from Alexandria: a geometry-optimized Na2ScCr structure (GGA-PBEsol).

The density of states at the Fermi level is 5.03 states/eV/f.u. The calculated total energy comes out at -63.36 eV/cell.

The structure belongs to space group Fm-3m (No. 225); the cell edges are 7.3013, 7.3013 and 7.3013 Å and the angles 90.00°, 90.00° and 90.00°. The inequivalent atoms are Na at (0.2500, 0.2500, 0.2500), Sc at (0.0000, 0.0000, 0.0000) and Cr at (0.0000, 0.0000, 0.5000).

***

Entry from Alexandria: a geometry-optimized FeCoAg2 structure (GGA-PBEsol).

The density of states at the Fermi level is 3.11 states/eV/f.u. The calculated total energy comes out at -43.07 eV/cell.

The structure belongs to space group Cmmm (No. 65); the cell edges are 5.2727, 7.9370 and 2.6523 Å and the angles 90.00°, 90.00° and 90.00°. The inequivalent atoms are Fe at (0.0000, 0.0000, 0.0000), Co at (0.0000, 0.5000, 0.0000) and Ag at (0.2500, 0.2500, 0.5000).

***

Entry from Alexandria: a geometry-optimized KCd2Ag structure (GGA-PBEsol).

The density of states at the Fermi level is 1.58 states/eV/f.u. The calculated total energy comes out at -6.71 eV/cell.

The structure belongs to space group Pmmm (No. 47); the cell edges are 3.1026, 4.0350 and 7.8809 Å and the angles 90.00°, 90.00° and 90.00°. The inequivalent atoms are K at (0.0000, 0.0000, 0.0000), Cd at (0.5000, 0.5000, 0.3139) and Ag at (0.0000, 0.0000, 0.5000).

***

Entry from Alexandria: a geometry-optimized Li2CuNi structure (GGA-PBEsol).

The density of states at the Fermi level is 2.20 states/eV/f.u. The calculated total energy comes out at -14.17 eV/cell.

The structure belongs to space group P4/mmm (No. 123); the cell edges are 2.4527, 2.4527 and 7.6943 Å and the angles 90.00°, 90.00° and 90.00°. The inequivalent atoms are Li at (0.0000, 0.0000, 0.2414), Cu at (0.5000, 0.5000, 0.5000) and Ni at (0.5000, 0.5000, 0.0000).

***

Entry from Alexandria: a geometry-optimized CrPbF2 structure (GGA-PBEsol).

For the formation energy (no corrections), the calculation gives -1.367 eV/atom. The density of states at the Fermi level is 2.31 states/eV/f.u.

The structure belongs to space group R-3m (No. 166, hexagonal axes); the cell edges are 3.3348, 3.3348 and 23.2988 Å and the angles 90.00°, 90.00° and 120.00°. The inequivalent atoms are Cr at (0.0000, 0.0000, 0.0000), Pb at (0.0000, 0.0000, 0.5000) and F at (0.0000, 0.0000, 0.3700).